1.
First-principles (PBE) data for an optimized crystal structure of FeMo2Cl, as listed in Alexandria.

Properties
Energy above the lowest structure with this stoichiometry   341 meV per atom
Symmetry   C2/m, No. 12
E_form (uncorrected)   625.8 meV/atom

abc: 4.643 4.643 4.931
angles: 77.04 77.04 36.88
Atoms (fractional coordinates):
Mo: 0.998 0.998 0.033
Mo: 0.502 0.502 0.467
Fe: 0.250 0.250 0.250
Cl: 0.750 0.750 0.750

---

2.
First-principles (PBE) data for an optimized crystal structure of KLa2Ta, as listed in Alexandria.

Properties
Calculated formation energy   903 meV/atom
Energy above the lowest structure with this stoichiometry   482 meV per atom
Symmetry   Cmmm, No. 65

abc: 6.081 6.081 3.384
angles: 89.94 89.94 101.91
Atoms (fractional coordinates):
K: 0.000 0.500 0.500
La: 0.000 0.000 0.000
La: 0.500 0.500 0.000
Ta: 0.500 0.000 0.500

---

3.
First-principles (PBE) data for an optimized crystal structure of SrHoAgGe, as listed in Alexandria.

Properties
Calculated formation energy   -434 meV/atom
Symmetry   F-43m, No. 216

abc: 5.250 5.250 5.250
angles: 60.00 60.00 60.00
Atoms (fractional coordinates):
Sr: 0.500 0.500 0.500
Ge: 0.250 0.250 0.250
Ho: 0.000 0.000 0.000
Ag: 0.750 0.750 0.750

---

4.
First-principles (PBE) data for an optimized crystal structure of HoMnNi2, as listed in Alexandria.

Properties
Calculated formation energy   -244 meV/atom
Symmetry   R-3m, No. 166

abc: 4.097 4.097 5.097
angles: 66.31 66.31 60.00
Atoms (fractional coordinates):
Ni: 0.797 0.797 0.609
Ni: 0.203 0.203 0.391
Mn: 0.500 0.500 0.500
Ho: 0.000 0.000 0.000

---

5.
First-principles (PBE) data for an optimized crystal structure of PrSm4Th, as listed in Alexandria.

Properties
Calculated formation energy   32 meV/atom
Energy above the lowest structure with this stoichiometry   0 meV per atom
Symmetry   P-1, No. 2

abc: 3.620 9.646 12.053
angles: 148.67 90.20 100.79
Atoms (fractional coordinates):
Pr: 0.500 0.000 0.500
Sm: 0.828 0.653 0.492
Sm: 0.172 0.347 0.508
Sm: 0.339 0.677 0.003
Sm: 0.661 0.323 0.997
Th: 0.000 0.000 0.000

---

6.
First-principles (PBE) data for an optimized crystal structure of V2GaMo2, as listed in Alexandria.

Properties
Calculated formation energy   -92 meV/atom
Energy above the lowest structure with this stoichiometry   0 meV per atom
Symmetry   R-3m, No. 166

abc: 4.385 4.385 5.110
angles: 64.58 64.59 60.00
Atoms (fractional coordinates):
V: 0.708 0.708 0.377
V: 0.292 0.292 0.623
Ga: 0.500 0.500 0.000
Mo: 0.094 0.094 0.219
Mo: 0.906 0.906 0.781

---

7.
First-principles (PBE) data for an optimized crystal structure of LuUFe2, as listed in Alexandria.

Properties
Calculated formation energy   -64 meV/atom
Symmetry   P4/mmm, No. 123

abc: 3.241 3.241 6.624
angles: 90.00 90.00 90.00
Atoms (fractional coordinates):
Lu: 0.500 0.500 0.500
U: 0.500 0.500 0.000
Fe: 0.000 0.000 0.798
Fe: 0.000 0.000 0.202

---

8.
First-principles (PBE) data for an optimized crystal structure of CuHgTe2, as listed in Alexandria.

Properties
Symmetry   R3m, No. 160
E_form (uncorrected)   58.8 meV/atom

abc: 4.008 4.008 7.658
angles: 74.83 74.83 60.00
Atoms (fractional coordinates):
Cu: 0.668 0.668 0.997
Hg: 0.498 0.498 0.505
Te: 0.066 0.066 0.803
Te: 0.268 0.268 0.196

---

9.
First-principles (PBE) data for an optimized crystal structure of Tl3Ag3HgCl8, as listed in Alexandria.

Properties
Symmetry   C2/m, No. 12
E_form (uncorrected)   -682.5 meV/atom

abc: 8.181 8.252 8.711
angles: 118.18 90.00 119.72
Atoms (fractional coordinates):
Tl: 0.000 0.000 0.000
Tl: 0.000 0.500 0.000
Tl: 0.500 0.500 0.000
Ag: 0.500 0.000 0.500
Ag: 0.500 0.500 0.500
Ag: 0.000 0.500 0.500
Hg: 0.000 0.000 0.500
Cl: 0.263 0.526 0.295
Cl: 0.737 0.474 0.705
Cl: 0.771 0.541 0.300
Cl: 0.229 0.459 0.700
Cl: 0.768 0.025 0.299
Cl: 0.232 0.975 0.701
Cl: 0.257 0.025 0.299
Cl: 0.743 0.975 0.701

---

10.
First-principles (PBE) data for an optimized crystal structure of BaAcPd4, as listed in Alexandria.

Properties
Calculated formation energy   -641 meV/atom
Symmetry   F-43m, No. 216

abc: 5.707 5.707 5.707
angles: 60.00 60.00 60.00
Atoms (fractional coordinates):
Ac: 0.250 0.250 0.250
Ba: 0.000 0.000 0.000
Pd: 0.625 0.625 0.126
Pd: 0.625 0.126 0.625
Pd: 0.625 0.625 0.625
Pd: 0.126 0.625 0.625

---

11.
First-principles (PBE) data for an optimized crystal structure of TiCdRh3, as listed in Alexandria.

Properties
Calculated formation energy   354 meV/atom
Energy above the lowest structure with this stoichiometry   0 meV per atom
Symmetry   Pm-3m, No. 221

abc: 4.555 4.555 4.555
angles: 90.00 90.00 90.00
Atoms (fractional coordinates):
Ti: 0.000 0.000 0.000
Rh: 0.000 0.500 0.000
Rh: 0.000 0.000 0.500
Rh: 0.500 0.000 0.000
Cd: 0.500 0.500 0.500

---

12.
First-principles (PBE) data for an optimized crystal structure of MgBi3Cl, as listed in Alexandria.

Properties
Energy above the lowest structure with this stoichiometry   179 meV per atom
Symmetry   Pm-3m, No. 221
E_form (uncorrected)   523.7 meV/atom

abc: 5.532 5.532 5.532
angles: 90.00 90.00 90.00
Atoms (fractional coordinates):
Mg: 0.500 0.500 0.500
Bi: 0.000 0.500 0.000
Bi: 0.000 0.000 0.500
Bi: 0.500 0.000 0.000
Cl: 0.000 0.000 0.000

---

Q: Number 3 is which compound?
A: SrHoAgGe